Material: LiHfTa2
Method: DFT, PBE
State: relaxed

Structure (CIF):
```
data_LiHfTa2
_chemical_formula_sum 'Li1 Hf1 Ta2'
_symmetry_space_group_name_H-M 'P 1'
_symmetry_Int_Tables_number 1
_cell_length_a 4.669
_cell_length_b 4.669
_cell_length_c 4.669
_cell_angle_alpha 60.00
_cell_angle_beta 60.00
_cell_angle_gamma 60.00
loop_
_symmetry_equiv_pos_as_xyz
'x,y,z'
loop_
_atom_site_label
_atom_site_type_symbol
_atom_site_fract_x
_atom_site_fract_y
_atom_site_fract_z
Hf1 Hf 0.500 0.500 0.500
Ta1 Ta 0.250 0.250 0.250
Ta2 Ta 0.750 0.750 0.750
Li1 Li 0.000 0.000 0.000
```

## Properties
Total moment   0.00 μB/f.u.
Formation enthalpy at 0 K   2.02 eV per formula unit
Theoretical density   12.63 g/cm3
DOS(E_F)   1.068 states/eV/atom

***

Material: LiHf2Ta
Method: DFT, PBE
State: relaxed

Structure (CIF):
```
data_LiHf2Ta
_chemical_formula_sum 'Li1 Hf2 Ta1'
_symmetry_space_group_name_H-M 'P 1'
_symmetry_Int_Tables_number 1
_cell_length_a 4.759
_cell_length_b 4.759
_cell_length_c 4.759
_cell_angle_alpha 60.00
_cell_angle_beta 60.00
_cell_angle_gamma 60.00
loop_
_symmetry_equiv_pos_as_xyz
'x,y,z'
loop_
_atom_site_label
_atom_site_type_symbol
_atom_site_fract_x
_atom_site_fract_y
_atom_site_fract_z
Hf1 Hf 0.750 0.750 0.750
Li1 Li 0.000 0.000 0.000
Ta1 Ta 0.500 0.500 0.500
Hf2 Hf 0.250 0.250 0.250
```

## Properties
Total moment   0.00 μB/f.u.
Formation enthalpy at 0 K   0.97 eV per formula unit
Theoretical density   11.87 g/cm3
DOS(E_F)   1.529 states/eV/atom

***

Material: LiHf2Ta
Method: DFT, PBE
State: relaxed

Structure (CIF):
```
data_LiHf2Ta
_chemical_formula_sum 'Li1 Hf2 Ta1'
_symmetry_space_group_name_H-M 'P 1'
_symmetry_Int_Tables_number 1
_cell_length_a 3.069
_cell_length_b 3.069
_cell_length_c 10.870
_cell_angle_alpha 81.88
_cell_angle_beta 81.88
_cell_angle_gamma 60.00
loop_
_symmetry_equiv_pos_as_xyz
'x,y,z'
loop_
_atom_site_label
_atom_site_type_symbol
_atom_site_fract_x
_atom_site_fract_y
_atom_site_fract_z
Ta1 Ta 0.500 0.500 0.500
Hf1 Hf 0.908 0.908 0.275
Hf2 Hf 0.092 0.092 0.725
Li1 Li 0.000 0.000 0.000
```

## Properties
Total moment   0.00 μB/f.u.
Formation enthalpy at 0 K   1.26 eV per formula unit
Theoretical density   10.34 g/cm3
DOS(E_F)   1.155 states/eV/atom

***

Material: LiHf2Ta
Method: DFT, PBE
State: relaxed

Structure (CIF):
```
data_LiHf2Ta
_chemical_formula_sum 'Li2 Hf4 Ta2'
_symmetry_space_group_name_H-M 'P 1'
_symmetry_Int_Tables_number 1
_cell_length_a 7.363
_cell_length_b 7.363
_cell_length_c 5.949
_cell_angle_alpha 51.77
_cell_angle_beta 51.77
_cell_angle_gamma 90.00
loop_
_symmetry_equiv_pos_as_xyz
'x,y,z'
loop_
_atom_site_label
_atom_site_type_symbol
_atom_site_fract_x
_atom_site_fract_y
_atom_site_fract_z
Hf1 Hf 0.600 0.125 0.250
Li1 Li 0.500 0.500 0.000
Ta1 Ta 0.750 0.250 0.500
Hf2 Hf 0.875 0.850 0.750
Hf3 Hf 0.375 0.400 0.750
Hf4 Hf 0.150 0.625 0.250
Li2 Li 0.250 0.750 0.500
Ta2 Ta 0.000 0.000 0.000
```

## Properties
Total moment   0.00 μB/f.u.
Formation enthalpy at 0 K   2.60 eV per formula unit
Theoretical density   11.59 g/cm3
DOS(E_F)   0.724 states/eV/atom

***

Material: LiHf2Ta
Method: DFT, PBE
State: relaxed

Structure (CIF):
```
data_LiHf2Ta
_chemical_formula_sum 'Li1 Hf2 Ta1'
_symmetry_space_group_name_H-M 'P 1'
_symmetry_Int_Tables_number 1
_cell_length_a 3.168
_cell_length_b 3.168
_cell_length_c 8.166
_cell_angle_alpha 90.00
_cell_angle_beta 90.00
_cell_angle_gamma 90.00
loop_
_symmetry_equiv_pos_as_xyz
'x,y,z'
loop_
_atom_site_label
_atom_site_type_symbol
_atom_site_fract_x
_atom_site_fract_y
_atom_site_fract_z
Hf1 Hf 0.000 0.000 0.264
Ta1 Ta 0.500 0.500 0.500
Li1 Li 0.500 0.500 0.000
Hf2 Hf 0.000 0.000 0.736
```

## Properties
Total moment   0.00 μB/f.u.
Formation enthalpy at 0 K   0.78 eV per formula unit
Theoretical density   11.04 g/cm3
DOS(E_F)   0.584 states/eV/atom

***

Material: Li2HfTa
Method: DFT, PBE
State: relaxed

Structure (CIF):
```
data_Li2HfTa
_chemical_formula_sum 'Li4 Hf2 Ta2'
_symmetry_space_group_name_H-M 'P 1'
_symmetry_Int_Tables_number 1
_cell_length_a 7.343
_cell_length_b 7.343
_cell_length_c 5.818
_cell_angle_alpha 50.87
_cell_angle_beta 50.87
_cell_angle_gamma 90.00
loop_
_symmetry_equiv_pos_as_xyz
'x,y,z'
loop_
_atom_site_label
_atom_site_type_symbol
_atom_site_fract_x
_atom_site_fract_y
_atom_site_fract_z
Li1 Li 0.375 0.372 0.750
Li2 Li 0.122 0.625 0.250
Ta1 Ta 0.000 0.000 0.000
Li3 Li 0.628 0.125 0.250
Hf1 Hf 0.500 0.500 0.000
Ta2 Ta 0.750 0.250 0.500
Hf2 Hf 0.250 0.750 0.500
Li4 Li 0.875 0.878 0.750
```

## Properties
Total moment   0.00 μB/f.u.
Formation enthalpy at 0 K   3.19 eV per formula unit
Theoretical density   8.76 g/cm3
DOS(E_F)   0.844 states/eV/atom

***

Material: LiHfTaW
Method: DFT, PBE
State: relaxed

Structure (CIF):
```
data_LiHfTaW
_chemical_formula_sum 'Li1 Hf1 Ta1 W1'
_symmetry_space_group_name_H-M 'P 1'
_symmetry_Int_Tables_number 1
_cell_length_a 4.612
_cell_length_b 4.612
_cell_length_c 4.612
_cell_angle_alpha 60.00
_cell_angle_beta 60.00
_cell_angle_gamma 60.00
loop_
_symmetry_equiv_pos_as_xyz
'x,y,z'
loop_
_atom_site_label
_atom_site_type_symbol
_atom_site_fract_x
_atom_site_fract_y
_atom_site_fract_z
W1 W 0.250 0.250 0.250
Hf1 Hf 0.500 0.500 0.500
Li1 Li 0.750 0.750 0.750
Ta1 Ta 0.000 0.000 0.000
```

## Properties
Total moment   0.00 μB/f.u.
Formation enthalpy at 0 K   0.60 eV per formula unit
Theoretical density   13.17 g/cm3
DOS(E_F)   0.855 states/eV/atom

***

Material: Li2HfTaW
Method: DFT, PBE
State: relaxed

Structure (CIF):
```
data_Li2HfTaW
_chemical_formula_sum 'Li2 Hf1 Ta1 W1'
_symmetry_space_group_name_H-M 'P 1'
_symmetry_Int_Tables_number 1
_cell_length_a 4.389
_cell_length_b 4.884
_cell_length_c 4.389
_cell_angle_alpha 90.00
_cell_angle_beta 90.00
_cell_angle_gamma 90.00
loop_
_symmetry_equiv_pos_as_xyz
'x,y,z'
loop_
_atom_site_label
_atom_site_type_symbol
_atom_site_fract_x
_atom_site_fract_y
_atom_site_fract_z
W1 W 0.000 0.500 0.000
Li1 Li 0.000 0.000 0.500
Hf1 Hf 0.000 0.000 0.000
Li2 Li 0.500 0.000 0.000
Ta1 Ta 0.500 0.500 0.500
```

## Properties
Total moment   0.00 μB/f.u.
Formation enthalpy at 0 K   8.67 eV per formula unit
Theoretical density   9.83 g/cm3
DOS(E_F)   0.743 states/eV/atom

***

Material: LiHf2ZrTa
Method: DFT, PBE
State: relaxed

Structure (CIF):
```
data_LiHf2ZrTa
_chemical_formula_sum 'Li1 Hf2 Zr1 Ta1'
_symmetry_space_group_name_H-M 'P 1'
_symmetry_Int_Tables_number 1
_cell_length_a 5.209
_cell_length_b 4.946
_cell_length_c 5.209
_cell_angle_alpha 90.00
_cell_angle_beta 90.00
_cell_angle_gamma 90.00
loop_
_symmetry_equiv_pos_as_xyz
'x,y,z'
loop_
_atom_site_label
_atom_site_type_symbol
_atom_site_fract_x
_atom_site_fract_y
_atom_site_fract_z
Hf1 Hf 0.000 0.000 0.500
Zr1 Zr 0.000 0.000 0.000
Li1 Li 0.500 0.500 0.500
Hf2 Hf 0.500 0.000 0.000
Ta1 Ta 0.000 0.500 0.000
```

## Properties
Total moment   0.91 μB/f.u.
Formation enthalpy at 0 K   7.19 eV per formula unit
Theoretical density   7.87 g/cm3
DOS(E_F)   1.366 states/eV/atom

***

Material: LiHfZr2Ta
Method: DFT, PBE
State: relaxed

Structure (CIF):
```
data_LiHfZr2Ta
_chemical_formula_sum 'Li1 Hf1 Zr2 Ta1'
_symmetry_space_group_name_H-M 'P 1'
_symmetry_Int_Tables_number 1
_cell_length_a 5.006
_cell_length_b 4.864
_cell_length_c 5.006
_cell_angle_alpha 90.00
_cell_angle_beta 90.00
_cell_angle_gamma 90.00
loop_
_symmetry_equiv_pos_as_xyz
'x,y,z'
loop_
_atom_site_label
_atom_site_type_symbol
_atom_site_fract_x
_atom_site_fract_y
_atom_site_fract_z
Hf1 Hf 0.500 0.500 0.500
Zr1 Zr 0.500 0.000 0.000
Ta1 Ta 0.000 0.000 0.000
Zr2 Zr 0.000 0.000 0.500
Li1 Li 0.000 0.500 0.000
```

## Properties
Total moment   0.00 μB/f.u.
Formation enthalpy at 0 K   5.34 eV per formula unit
Theoretical density   7.48 g/cm3
DOS(E_F)   1.224 states/eV/atom